# Ho12Pd5Rh2

A relaxed structure of Ho12Pd5Rh2 (PBE, Alexandria via LeMat-Bulk).

Geometry as extended XYZ:
```
19
Lattice="8.132 -3.694 0.000 8.132 3.694 0.000 -2.268 0.000 8.462" Properties=species:S:1:pos:R:3 pbc="T T T"
Ho -0.504 0.000 2.035
Ho 4.455 1.943 3.405
Ho 3.577 1.798 7.910
Ho 10.419 1.798 0.551
Ho 9.540 1.943 5.056
Ho 6.368 0.000 5.838
Ho 7.628 0.000 2.624
Ho 4.455 -1.943 3.405
Ho 3.577 -1.798 7.910
Ho 10.419 -1.798 0.551
Ho 9.540 -1.943 5.056
Ho 14.500 0.000 6.427
Pd 2.330 0.000 2.838
Pd 1.329 0.000 7.312
Pd 8.132 0.000 0.000
Pd 12.667 0.000 1.150
Pd 11.665 0.000 5.623
Rh 6.998 2.156 4.231
Rh 6.998 -2.156 4.231
```

Calculated values
- theoretical density (g/cm3) = 8.87
- Fermi-level density of states (states/eV/f.u.) = 16.454
- energy relative to the elements (eV/f.u.) = -11.4
- raw total energy (eV per atom) = -5.63

# Ho3PdRh

A relaxed structure of Ho3PdRh (PBE, Alexandria via LeMat-Bulk).

Geometry as extended XYZ:
```
10
Lattice="4.905 -3.163 0.000 4.905 3.163 0.000 -3.668 0.000 7.568" Properties=species:S:1:pos:R:3 pbc="T T T"
Ho -0.793 0.000 1.957
Ho 0.518 0.000 5.092
Ho 2.501 0.000 1.046
Ho 3.641 0.000 6.521
Ho 5.624 0.000 2.476
Ho 6.935 0.000 5.611
Pd 3.071 1.335 3.784
Pd 3.071 -1.335 3.784
Rh 4.905 1.431 0.000
Rh 4.905 -1.431 0.000
```

Calculated values
- theoretical density (g/cm3) = 9.96
- Fermi-level density of states (states/eV/f.u.) = 4.218
- energy relative to the elements (eV/f.u.) = -3.5
- energy above the lowest structure with this stoichiometry (meV per atom) = 7
- raw total energy (eV per atom) = -5.96

# Ho4Pd2Rh

A relaxed structure of Ho4Pd2Rh (PBE, Alexandria via LeMat-Bulk).

Geometry as extended XYZ:
```
7
Lattice="2.430 1.403 8.014 -2.430 1.403 8.014 0.000 -2.805 8.014" Properties=species:S:1:pos:R:3 pbc="T T T"
Ho 0.000 0.000 2.969
Ho 0.000 0.000 8.991
Ho 0.000 0.000 15.052
Ho 0.000 0.000 21.074
Pd 0.000 0.000 6.001
Pd 0.000 0.000 18.042
Rh 0.000 0.000 0.000
```

Calculated values
- theoretical density (g/cm3) = 9.88
- Fermi-level density of states (states/eV/f.u.) = 4.972
- energy relative to the elements (eV/f.u.) = -5.3
- raw total energy (eV per atom) = -5.91

# Ho6PdRh5

A relaxed structure of Ho6PdRh5 (PBE, Alexandria via LeMat-Bulk).

Geometry as extended XYZ:
```
12
Lattice="-2.402 3.480 7.194 2.402 -3.480 7.194 2.402 3.480 -7.194" Properties=species:S:1:pos:R:3 pbc="T T T"
Ho 2.402 1.727 -2.421
Ho 0.000 1.713 0.000
Ho 2.402 1.727 2.421
Ho 0.000 1.753 4.774
Ho 0.000 5.247 0.000
Ho 0.000 1.753 9.615
Pd 0.000 0.000 7.194
Rh 2.402 0.000 0.000
Rh 0.000 0.000 2.389
Rh 2.402 0.000 4.796
Rh 0.000 3.480 2.398
Rh 0.000 0.000 11.999
```

Calculated values
- theoretical density (g/cm3) = 11.12
- Fermi-level density of states (states/eV/f.u.) = 6.913
- energy relative to the elements (eV/f.u.) = -10.9
- raw total energy (eV per atom) = -6.69

# Ho5Pd2Rh2

A relaxed structure of Ho5Pd2Rh2 (PBE, Alexandria via LeMat-Bulk).

Geometry as extended XYZ:
```
18
Lattice="7.353 -3.721 0.000 7.353 3.721 0.000 0.000 0.000 7.483" Properties=species:S:1:pos:R:3 pbc="T T T"
Ho 0.000 0.000 0.000
Ho 5.386 2.444 5.000
Ho 5.386 1.278 1.258
Ho 9.321 2.444 5.000
Ho 9.321 1.278 1.258
Ho 7.353 0.000 3.741
Ho 5.386 -1.278 6.225
Ho 5.386 -2.444 2.483
Ho 9.321 -1.278 6.225
Ho 9.321 -2.444 2.483
Pd 3.026 0.000 0.000
Pd 4.328 0.000 3.741
Pd 10.379 0.000 3.741
Pd 11.681 0.000 0.000
Rh 7.353 2.728 2.748
Rh 7.353 0.993 6.489
Rh 7.353 -0.993 0.994
Rh 7.353 -2.728 4.735
```

Calculated values
- theoretical density (g/cm3) = 10.08
- Fermi-level density of states (states/eV/f.u.) = 4.625
- energy relative to the elements (eV/f.u.) = -7.4
- raw total energy (eV per atom) = -6.15

# Ho6PdRh2

A relaxed structure of Ho6PdRh2 (PBE, Alexandria via LeMat-Bulk).

Geometry as extended XYZ:
```
18
Lattice="-4.649 4.724 5.025 4.649 -4.724 5.025 4.649 4.724 -5.025" Properties=species:S:1:pos:R:3 pbc="T T T"
Ho 4.649 -2.913 3.301
Ho 2.885 0.000 2.482
Ho 6.414 0.000 2.482
Ho 2.998 2.580 0.000
Ho 6.301 2.580 0.000
Ho 0.000 1.812 1.724
Ho 4.649 2.913 3.301
Ho -1.652 2.144 5.025
Ho 1.652 2.144 5.025
Ho -1.764 4.724 2.543
Ho 1.764 4.724 2.543
Ho 0.000 7.637 1.724
Pd 4.649 0.000 0.000
Pd 0.000 4.724 0.000
Rh 1.577 0.000 0.000
Rh 7.722 0.000 0.000
Rh 0.000 0.000 3.711
Rh 0.000 0.000 6.338
```

Calculated values
- theoretical density (g/cm3) = 9.79
- Fermi-level density of states (states/eV/f.u.) = 7.498
- energy relative to the elements (eV/f.u.) = -5.7
- raw total energy (eV per atom) = -5.90